Entry 1:
A geometry-optimized ScCo2Sb structure, computed with GGA-PBE.

The structure in CIF format:
```
data_ScCo2Sb
_space_group_name_H-M_alt 'P 1 2/m 1'
_space_group_IT_number 10
_space_group_name_Hall '-P 2y'
_cell_length_a 3.173
_cell_length_b 4.082
_cell_length_c 5.400
_cell_angle_alpha 90.00
_cell_angle_beta 90.13
_cell_angle_gamma 90.00
loop_
_atom_site_label
_atom_site_fract_x
_atom_site_fract_y
_atom_site_fract_z
Sc1 0.000 0.000 0.000
Co1 0.499 0.500 0.794
Sb1 0.500 0.000 0.500
```

As for the crystal system: monoclinic. Its size of the total moment is 2.55 μB per cell. Its total energy is -25.1 eV/cell. As for the uncorrected formation energy: -0.105 eV/atom.

Entry 2:
A geometry-optimized ScCoSb3 structure, computed with GGA-PBE.

The structure in CIF format:
```
data_ScCoSb3
_space_group_name_H-M_alt 'P m -3 m'
_space_group_IT_number 221
_space_group_name_Hall '-P 4 2 3'
_cell_length_a 5.400
_cell_length_b 5.400
_cell_length_c 5.400
_cell_angle_alpha 90.00
_cell_angle_beta 90.00
_cell_angle_gamma 90.00
loop_
_atom_site_label
_atom_site_fract_x
_atom_site_fract_y
_atom_site_fract_z
Sc1 0.000 0.000 0.000
Co1 0.500 0.500 0.500
Sb1 0.000 0.000 0.500
```

As for the crystal system: cubic. Its size of the total moment is 1.91 μB per cell. Its total energy is -21.5 eV/cell. The energy above the most stable polymorph in this dataset is 660.5 meV per atom. As for the uncorrected formation energy: 0.852 eV/atom.

Entry 3:
A geometry-optimized Sc2CoSb structure, computed with GGA-PBE.

The structure in CIF format:
```
data_Sc2CoSb
_space_group_name_H-M_alt 'R -3 m'
_space_group_IT_number 166
_space_group_name_Hall '-R 3 2"'
_cell_length_a 3.4981
_cell_length_b 3.4981
_cell_length_c 26.5414
_cell_angle_alpha 90.00
_cell_angle_beta 90.00
_cell_angle_gamma 120.00
loop_
_atom_site_label
_atom_site_fract_x
_atom_site_fract_y
_atom_site_fract_z
Sc1 0.0000 0.0000 0.1120
Co1 0.0000 0.0000 0.5000
Sb1 0.0000 0.0000 0.0000
```

As for the crystal system: trigonal. Its size of the total moment is 0.00 μB per cell. Its total energy is -72.7 eV/cell. As for the uncorrected formation energy: -0.086 eV/atom.